Record 1
Compound: Pa2BeSnN5
Source: Alexandria
Functional: GGA-PBE
Structure: optimized geometry

a b c (Å): 6.8980 6.8980 9.8644
angles (deg): 90.00 90.00 152.72
Positions (direct):
Pa (0.1092, 0.8908, 0.5000)
Pa (0.1328, 0.8672, 0.1257)
Pa (0.8672, 0.1328, 0.6257)
Pa (0.8908, 0.1092, 0.0000)
Be (0.4951, 0.5049, 0.7900)
Be (0.5049, 0.4951, 0.2900)
Sn (0.1880, 0.8120, 0.8184)
Sn (0.8120, 0.1880, 0.3184)
N (0.0278, 0.9722, 0.8513)
N (0.2953, 0.7047, 0.4744)
N (0.3052, 0.6948, 0.1669)
N (0.3586, 0.6414, 0.8233)
N (0.4915, 0.5085, 0.6073)
N (0.5085, 0.4915, 0.1073)
N (0.6414, 0.3586, 0.3233)
N (0.6948, 0.3052, 0.6669)
N (0.7047, 0.2953, 0.9744)
N (0.9722, 0.0278, 0.3513)

Summary:
Crystal system: orthorhombic
E_tot in eV/atom: -8.48
Total magnetization in Bohr magnetons per cell: 0.000
DOS(E_F) in states/eV per atom: 0.243
Space group: No. 36

Record 2
Compound: SrPa2BeN4
Source: Alexandria
Functional: GGA-PBE
Structure: optimized geometry

a b c (Å): 6.1341 6.1341 11.2192
angles (deg): 90.00 90.00 146.40
Positions (direct):
Sr (0.0947, 0.9053, 0.7500)
Sr (0.9053, 0.0947, 0.2500)
Pa (0.3697, 0.6303, 0.5539)
Pa (0.3697, 0.6303, 0.9461)
Pa (0.6303, 0.3697, 0.0539)
Pa (0.6303, 0.3697, 0.4461)
Be (0.1865, 0.8135, 0.2500)
Be (0.8135, 0.1865, 0.7500)
N (0.0000, 0.0000, 0.0000)
N (0.0000, 0.0000, 0.5000)
N (0.2569, 0.7431, 0.1185)
N (0.2569, 0.7431, 0.3815)
N (0.4087, 0.5913, 0.7500)
N (0.5913, 0.4087, 0.2500)
N (0.7431, 0.2569, 0.6185)
N (0.7431, 0.2569, 0.8815)

Summary:
Crystal system: orthorhombic
E_tot in eV/atom: -8.56
Total magnetization in Bohr magnetons per cell: 1.902
DOS(E_F) in states/eV per atom: 0.533
Space group: No. 63

Record 3
Compound: Pa2TaBeN6
Source: Alexandria
Functional: GGA-PBE
Structure: optimized geometry

a b c (Å): 6.0114 6.0114 6.0114
angles (deg): 54.21 54.21 54.21
Positions (direct):
Pa (0.0000, 0.0000, 0.0000)
Pa (0.4956, 0.4956, 0.4956)
Ta (0.2876, 0.2876, 0.2876)
Be (0.7307, 0.7307, 0.7307)
N (0.0645, 0.4424, 0.6618)
N (0.2021, 0.9257, 0.5778)
N (0.4424, 0.6618, 0.0645)
N (0.5778, 0.2021, 0.9257)
N (0.6618, 0.0645, 0.4424)
N (0.9257, 0.5778, 0.2021)

Summary:
Crystal system: trigonal
E_tot in eV/atom: -9.54
Total magnetization in Bohr magnetons per cell: 0.000
DOS(E_F) in states/eV per atom: 0.852
Space group: No. 146

Record 4
Compound: Tb3Pa3BeN8
Source: Alexandria
Functional: GGA-PBE
Structure: optimized geometry

a b c (Å): 6.8597 6.8597 6.8597
angles (deg): 59.51 59.51 59.51
Positions (direct):
Tb (0.0000, 0.5000, 0.5000)
Tb (0.5000, 0.0000, 0.5000)
Tb (0.5000, 0.5000, 0.0000)
Pa (0.0000, 0.0000, 0.5000)
Pa (0.0000, 0.5000, 0.0000)
Pa (0.5000, 0.0000, 0.0000)
Be (0.5000, 0.5000, 0.5000)
N (0.2493, 0.2493, 0.2493)
N (0.2493, 0.7311, 0.7311)
N (0.2689, 0.2689, 0.7507)
N (0.2689, 0.7507, 0.2689)
N (0.7311, 0.2493, 0.7311)
N (0.7311, 0.7311, 0.2493)
N (0.7507, 0.2689, 0.2689)
N (0.7507, 0.7507, 0.7507)

Summary:
Crystal system: trigonal
E_tot in eV/atom: -8.75
Total magnetization in Bohr magnetons per cell: 0.000
DOS(E_F) in states/eV per atom: 0.352
Space group: No. 166

Record 5
Compound: Pa2BeTcN5
Source: Alexandria
Functional: GGA-PBE
Structure: optimized geometry

a b c (Å): 6.7475 6.7475 9.1986
angles (deg): 90.00 90.00 151.37
Positions (direct):
Pa (0.1219, 0.8781, 0.5000)
Pa (0.1282, 0.8718, 0.1031)
Pa (0.8718, 0.1282, 0.6031)
Pa (0.8781, 0.1219, 0.0000)
Be (0.4909, 0.5091, 0.2823)
Be (0.5091, 0.4909, 0.7823)
Tc (0.1995, 0.8005, 0.8026)
Tc (0.8005, 0.1995, 0.3026)
N (0.0383, 0.9617, 0.8366)
N (0.2981, 0.7019, 0.4597)
N (0.3046, 0.6954, 0.1711)
N (0.3624, 0.6377, 0.8123)
N (0.4992, 0.5008, 0.0889)
N (0.5008, 0.4992, 0.5889)
N (0.6377, 0.3624, 0.3123)
N (0.6954, 0.3046, 0.6711)
N (0.7019, 0.2981, 0.9597)
N (0.9617, 0.0383, 0.3366)

Summary:
Crystal system: orthorhombic
E_tot in eV/atom: -9.36
Total magnetization in Bohr magnetons per cell: 0.000
DOS(E_F) in states/eV per atom: 0.392
Space group: No. 36

Record 6
Compound: ThPa2BeN5
Source: Alexandria
Functional: GGA-PBE
Structure: optimized geometry

a b c (Å): 8.2593 8.2593 9.2301
angles (deg): 90.00 90.00 157.00
Positions (direct):
Th (0.2077, 0.7923, 0.5000)
Th (0.7923, 0.2077, 0.0000)
Pa (0.0852, 0.9148, 0.1797)
Pa (0.1041, 0.8959, 0.8181)
Pa (0.8959, 0.1041, 0.3181)
Pa (0.9148, 0.0852, 0.6797)
Be (0.4569, 0.5431, 0.9545)
Be (0.5431, 0.4569, 0.4545)
N (0.0303, 0.9697, 0.5331)
N (0.3198, 0.6802, 0.1922)
N (0.3527, 0.6473, 0.8468)
N (0.3611, 0.6389, 0.5122)
N (0.4909, 0.5091, 0.2869)
N (0.5091, 0.4909, 0.7869)
N (0.6389, 0.3611, 0.0122)
N (0.6473, 0.3527, 0.3468)
N (0.6802, 0.3198, 0.6922)
N (0.9697, 0.0303, 0.0331)

Summary:
Crystal system: orthorhombic
E_tot in eV/atom: -9.26
Total magnetization in Bohr magnetons per cell: 0.000
DOS(E_F) in states/eV per atom: 0.231
Space group: No. 36

Record 7
Compound: PaTiBeN3
Source: Alexandria
Functional: GGA-PBE
Structure: optimized geometry

a b c (Å): 6.5384 3.0873 6.7766
angles (deg): 90.00 104.22 90.00
Positions (direct):
Pa (0.1938, 0.2500, 0.2220)
Pa (0.8062, 0.7500, 0.7780)
Ti (0.3411, 0.7500, 0.8508)
Ti (0.6589, 0.2500, 0.1492)
Be (0.0942, 0.2500, 0.5981)
Be (0.9058, 0.7500, 0.4019)
N (0.1096, 0.2500, 0.8571)
N (0.1797, 0.7500, 0.5169)
N (0.4437, 0.7500, 0.1752)
N (0.5563, 0.2500, 0.8248)
N (0.8203, 0.2500, 0.4831)
N (0.8904, 0.7500, 0.1429)

Summary:
Crystal system: monoclinic
E_tot in eV/atom: -9.05
Total magnetization in Bohr magnetons per cell: 0.000
DOS(E_F) in states/eV per atom: 0.465
Space group: No. 11

Record 8
Compound: Pa2TiBeN5
Source: Alexandria
Functional: GGA-PBE
Structure: optimized geometry

a b c (Å): 6.7633 6.7633 9.6061
angles (deg): 90.00 90.00 152.54
Positions (direct):
Pa (0.1180, 0.8820, 0.5000)
Pa (0.1322, 0.8678, 0.1331)
Pa (0.8678, 0.1322, 0.6331)
Pa (0.8820, 0.1180, 0.0000)
Ti (0.1904, 0.8096, 0.8249)
Ti (0.8096, 0.1904, 0.3249)
Be (0.4548, 0.5452, 0.2597)
Be (0.5452, 0.4548, 0.7597)
N (0.0382, 0.9618, 0.8341)
N (0.2960, 0.7040, 0.4770)
N (0.3139, 0.6861, 0.1796)
N (0.3471, 0.6529, 0.8224)
N (0.4943, 0.5057, 0.5928)
N (0.5057, 0.4943, 0.0928)
N (0.6529, 0.3471, 0.3224)
N (0.6861, 0.3139, 0.6796)
N (0.7040, 0.2960, 0.9770)
N (0.9618, 0.0382, 0.3341)

Summary:
Crystal system: orthorhombic
E_tot in eV/atom: -9.45
Total magnetization in Bohr magnetons per cell: 0.000
DOS(E_F) in states/eV per atom: 0.223
Space group: No. 36

Record 9
Compound: TmPaBeN3
Source: Alexandria
Functional: GGA-PBE
Structure: optimized geometry

a b c (Å): 6.7387 3.2407 7.1198
angles (deg): 90.00 100.24 90.00
Positions (direct):
Tm (0.1861, 0.2500, 0.1494)
Tm (0.8139, 0.7500, 0.8506)
Pa (0.2047, 0.2500, 0.6722)
Pa (0.7953, 0.7500, 0.3278)
Be (0.4040, 0.7500, 0.4216)
Be (0.5960, 0.2500, 0.5784)
N (0.1415, 0.7500, 0.3890)
N (0.1660, 0.7500, 0.9028)
N (0.4987, 0.2500, 0.3426)
N (0.5013, 0.7500, 0.6574)
N (0.8340, 0.2500, 0.0972)
N (0.8585, 0.2500, 0.6110)

Summary:
Crystal system: monoclinic
E_tot in eV/atom: -8.54
Total magnetization in Bohr magnetons per cell: 0.008
DOS(E_F) in states/eV per atom: 0.419
Space group: No. 11

Record 10
Compound: UPa2BeN5
Source: Alexandria
Functional: GGA-PBE
Structure: optimized geometry

a b c (Å): 6.7586 6.7586 10.2350
angles (deg): 90.00 90.00 151.44
Positions (direct):
U (0.1670, 0.8330, 0.5000)
U (0.8330, 0.1670, 0.0000)
Pa (0.1101, 0.8899, 0.1451)
Pa (0.1446, 0.8554, 0.8054)
Pa (0.8554, 0.1446, 0.3054)
Pa (0.8899, 0.1101, 0.6451)
Be (0.4655, 0.5345, 0.8634)
Be (0.5345, 0.4655, 0.3634)
N (0.0058, 0.9942, 0.4350)
N (0.2845, 0.7155, 0.1514)
N (0.3313, 0.6687, 0.4770)
N (0.3306, 0.6694, 0.8440)
N (0.4899, 0.5101, 0.2074)
N (0.5101, 0.4899, 0.7074)
N (0.6694, 0.3306, 0.3440)
N (0.6687, 0.3313, 0.9770)
N (0.7155, 0.2845, 0.6514)
N (0.9942, 0.0058, 0.9350)

Summary:
Crystal system: orthorhombic
E_tot in eV/atom: -9.72
Total magnetization in Bohr magnetons per cell: 3.174
DOS(E_F) in states/eV per atom: 0.822
Space group: No. 36

Record 11
Compound: Pa2BeWN6
Source: Alexandria
Functional: GGA-PBE
Structure: optimized geometry

a b c (Å): 5.1714 5.1714 4.7235
angles (deg): 90.00 90.00 90.00
Positions (direct):
Pa (0.0000, 0.5000, 0.0000)
Pa (0.5000, 0.0000, 0.0000)
Be (0.0000, 0.0000, 0.5649)
W (0.5000, 0.5000, 0.5825)
N (0.0000, 0.0000, 0.2056)
N (0.2472, 0.2472, 0.7225)
N (0.2472, 0.7528, 0.7225)
N (0.5000, 0.5000, 0.1888)
N (0.7528, 0.2472, 0.7225)
N (0.7528, 0.7528, 0.7225)

Summary:
Crystal system: tetragonal
E_tot in eV/atom: -9.45
Total magnetization in Bohr magnetons per cell: 0.000
Space group: No. 99

Record 12
Compound: Pa2BeWN5
Source: Alexandria
Functional: GGA-PBE
Structure: optimized geometry

a b c (Å): 6.7716 6.7716 9.6956
angles (deg): 90.00 90.00 152.67
Positions (direct):
Pa (0.1170, 0.8830, 0.5000)
Pa (0.1311, 0.8689, 0.1146)
Pa (0.8689, 0.1311, 0.6146)
Pa (0.8830, 0.1170, 0.0000)
Be (0.4953, 0.5047, 0.2833)
Be (0.5047, 0.4953, 0.7833)
W (0.1965, 0.8035, 0.8120)
W (0.8035, 0.1965, 0.3120)
N (0.0405, 0.9595, 0.8429)
N (0.2966, 0.7034, 0.4601)
N (0.3076, 0.6924, 0.1694)
N (0.3588, 0.6412, 0.8133)
N (0.4967, 0.5033, 0.5963)
N (0.5033, 0.4967, 0.0963)
N (0.6412, 0.3588, 0.3133)
N (0.6924, 0.3076, 0.6694)
N (0.7034, 0.2966, 0.9601)
N (0.9595, 0.0405, 0.3429)

Summary:
Crystal system: orthorhombic
E_tot in eV/atom: -9.72
Total magnetization in Bohr magnetons per cell: 0.000
DOS(E_F) in states/eV per atom: 0.531
Space group: No. 36

Going through the records in order, we get energy relative to the elements, uncorrected values of -883 -1346 -1089 -1233 -1056 -1291 -1372 -1421 -1424 -1318 -885 -1132 meV per atom.